An optimized crystal structure of Fe2WAu, computed with GGA-PBE.

Summary:
V: 57 Å³/f.u.
E_form: 6.014 kcal/mol of atoms
theoretical density: 14.42 g/cm3
SG: Pmm2 (25)

Geometry as POSCAR:
```
Fe2WAu
1.0
2.769 0.000 0.000
0.000 3.718 0.000
0.000 0.000 5.509
Au Fe W
1 2 1
direct
0.500 0.500 0.762 Au
0.000 0.000 0.030 Fe
0.500 0.500 0.245 Fe
0.000 0.000 0.462 W
```